No. 1
Density functional theory data (GGA-PBE) for a geometry-optimized Gd2ThAg structure.

a = 11.702 Å, b = 11.702 Å, c = 11.702 Å
α = 17.18°, β = 17.18°, γ = 17.18°
Positions (direct):
Gd: 0.087 0.087 0.087
Gd: 0.913 0.913 0.913
Th: 0.500 0.500 0.500
Ag: 0.000 0.000 0.000

Values from the calculation:
- polymorph energy (0 for the lowest one) (meV per atom) = 369
- ΔH_f (0 K) (eV/atom) = 0.233
- N(E_F) (states/eV/cell) = 4.00

---

No. 2
Density functional theory data (GGA-PBE) for a geometry-optimized TiNb structure.

a = 5.366 Å, b = 5.532 Å, c = 9.612 Å
α = 90.00°, β = 90.00°, γ = 90.00°
Positions (direct):
Ti: 0.017 0.160 0.237
Ti: 0.227 0.389 0.517
Ti: 0.273 0.611 0.017
Ti: 0.483 0.840 0.737
Ti: 0.517 0.340 0.763
Ti: 0.727 0.111 0.483
Ti: 0.773 0.889 0.983
Ti: 0.983 0.660 0.263
Nb: 0.026 0.583 0.771
Nb: 0.248 0.893 0.477
Nb: 0.252 0.107 0.977
Nb: 0.474 0.417 0.271
Nb: 0.526 0.917 0.229
Nb: 0.748 0.607 0.523
Nb: 0.752 0.393 0.023
Nb: 0.974 0.083 0.729

Values from the calculation:
- ΔH_f (0 K) (eV/atom) = 0.096
- N(E_F) (states/eV/cell) = 22.84

---

No. 3
Density functional theory data (GGA-PBE) for a geometry-optimized SrBOsO6 structure.

a = 5.169 Å, b = 5.205 Å, c = 5.377 Å
α = 89.35°, β = 68.24°, γ = 89.09°
Positions (direct):
Sr: 0.000 0.000 0.000
B: 0.534 0.582 0.118
Os: 0.662 0.494 0.623
O: 0.351 0.317 0.702
O: 0.391 0.717 0.990
O: 0.586 0.684 0.332
O: 0.678 0.363 0.981
O: 0.890 0.743 0.633
O: 0.912 0.272 0.406

---

No. 4
Density functional theory data (GGA-PBE) for a geometry-optimized SbRu2Se2 structure.

a = 7.616 Å, b = 7.616 Å, c = 3.118 Å
α = 90.00°, β = 90.00°, γ = 90.00°
Positions (direct):
Sb: 0.000 0.000 0.000
Sb: 0.500 0.500 0.000
Ru: 0.130 0.370 0.000
Ru: 0.370 0.870 0.000
Ru: 0.630 0.130 0.000
Ru: 0.870 0.630 0.000
Se: 0.140 0.640 0.500
Se: 0.360 0.140 0.500
Se: 0.640 0.860 0.500
Se: 0.860 0.360 0.500

Values from the calculation:
- polymorph energy (0 for the lowest one) (meV per atom) = 0
- N(E_F) (states/eV/cell) = 7.53

---

no.,final energy (eV per atom)
1,-9.375
2,-8.887
3,-7.285
4,-5.717